## InNi3As (GGA-PBE)

Data for a relaxed InNi3As crystal.

## Properties
Crystal system: cubic
Energy: -0.3482 Ry/atom
ΔH_f (0 K): 208 meV/atom
Distance to the lowest polymorph of the same formula: 315 meV/atom

```
data_InNi3As
_cell_length_a 4.3628
_cell_length_b 4.3628
_cell_length_c 4.3628
_cell_angle_alpha 90.00
_cell_angle_beta 90.00
_cell_angle_gamma 90.00
_space_group_name_H-M_alt 'P m -3 m'
_space_group_IT_number 221
_space_group_name_Hall '-P 4 2 3'
loop_
_atom_site_label
_atom_site_type_symbol
_atom_site_fract_x
_atom_site_fract_y
_atom_site_fract_z
_atom_site_occupancy
In1 In 0.0000 0.0000 0.0000 1
Ni1 Ni 0.0000 0.5000 0.5000 1
As1 As 0.5000 0.5000 0.5000 1
```